(1)
Below is an optimized crystal structure of KZr, with properties calculated at the PBE-GGA level.

E: -4.186 eV per atom
volume: 35.90 Å³/atom
mass density: 3.01 g/cm³
total magnetic moment: 0.0 μB per formula unit

a = 7.0930 Å, b = 5.3075 Å, c = 11.6005 Å
α = 90.00°, β = 99.48°, γ = 90.00°
Last column: nearest neighbours and their distance in Å.
Positions (direct):
K 0.0142 0.2500 0.1252  3 K 3.32-3.62
K 0.3197 0.7500 0.2604  4 K 3.55-3.62, 6 Zr 3.58-3.74
K 0.4513 0.7500 0.8657  3 K 3.32-3.55
K 0.5487 0.2500 0.1343  3 K 3.32-3.55
K 0.6803 0.2500 0.7396  4 K 3.55-3.62, 6 Zr 3.58-3.74
K 0.9858 0.7500 0.8748  3 K 3.32-3.62
Zr 0.1275 0.7500 0.5417  8 Zr 2.96-3.27
Zr 0.1601 0.2500 0.6743  4 Zr 2.84-3.06
Zr 0.3292 0.2500 0.4686  1 Zr 2.84
Zr 0.6708 0.7500 0.5314  1 Zr 2.84
Zr 0.8399 0.7500 0.3257  4 Zr 2.84-3.06
Zr 0.8725 0.2500 0.4583  8 Zr 2.96-3.27

(2)
Below is an optimized crystal structure of KZr, with properties calculated at the PBE-GGA level.

E: -2.677 eV per atom
volume: 44.18 Å³/atom
mass density: 2.45 g/cm³
total magnetic moment: 3.2 μB per formula unit

a = 4.9996 Å, b = 4.9996 Å, c = 4.9996 Å
α = 60.00°, β = 60.00°, γ = 60.00°
Last column: nearest neighbours and their distance in Å.
Positions (direct):
K 0.0000 0.0000 0.0000  6 Zr 3.54
Zr 0.5000 0.5000 0.5000  6 K 3.54

(3)
Below is an optimized crystal structure of KZr2, with properties calculated at the PBE-GGA level.

E: -5.084 eV per atom
volume: 30.43 Å³/atom
mass density: 4.03 g/cm³
total magnetic moment: 0.1 μB per formula unit

a = 6.3676 Å, b = 6.3676 Å, c = 6.3676 Å
α = 60.00°, β = 60.00°, γ = 60.00°
Last column: nearest neighbours and their distance in Å.
Positions (direct):
K 0.1250 0.1250 0.1250  12 Zr 3.73, 4 K 3.90
K 0.8750 0.8750 0.8750  12 Zr 3.73, 4 K 3.90
Zr 0.0000 0.5000 0.5000  6 Zr 3.18
Zr 0.5000 0.0000 0.5000  6 Zr 3.18
Zr 0.5000 0.5000 0.0000  6 Zr 3.18
Zr 0.5000 0.5000 0.5000  6 Zr 3.18

(4)
Below is an optimized crystal structure of K2Zr, with properties calculated at the PBE-GGA level.

E: -2.556 eV per atom
volume: 45.28 Å³/atom
mass density: 2.07 g/cm³
total magnetic moment: 0.9 μB per formula unit

a = 7.9192 Å, b = 7.9192 Å, c = 10.0050 Å
α = 90.00°, β = 90.00°, γ = 120.00°
Last column: nearest neighbours and their distance in Å.
Positions (direct):
K 0.0000 0.0000 0.0000  6 K 3.59
K 0.0000 0.0000 0.5000  6 K 3.59
K 0.1876 0.3753 0.2500  4 K 3.46-3.59
K 0.1876 0.8124 0.2500  4 K 3.46-3.59
K 0.3753 0.1876 0.7500  4 K 3.46-3.59
K 0.6247 0.8124 0.2500  4 K 3.46-3.59
K 0.8124 0.1876 0.7500  4 K 3.46-3.59
K 0.8124 0.6247 0.7500  4 K 3.46-3.59
Zr 0.3333 0.6667 0.6282  1 Zr 2.44
Zr 0.3333 0.6667 0.8718  1 Zr 2.44
Zr 0.6667 0.3333 0.1282  1 Zr 2.44
Zr 0.6667 0.3333 0.3718  1 Zr 2.44

(5)
Below is an optimized crystal structure of KZr, with properties calculated at the PBE-GGA level.

E: -4.385 eV per atom
volume: 39.68 Å³/atom
mass density: 2.73 g/cm³
total magnetic moment: 0.3 μB per formula unit

a = 3.2894 Å, b = 5.3291 Å, c = 18.1095 Å
α = 90.00°, β = 90.00°, γ = 90.00°
Last column: nearest neighbours and their distance in Å.
Positions (direct):
K 0.2500 0.2500 0.0881  2 K 3.29
K 0.2500 0.7500 0.2615  2 K 3.29
K 0.7500 0.2500 0.7385  2 K 3.29
K 0.7500 0.7500 0.9119  2 K 3.29
Zr 0.2500 0.2500 0.5287  10 Zr 3.02-3.30
Zr 0.2500 0.7500 0.6110  6 Zr 3.02-3.29
Zr 0.7500 0.2500 0.3890  6 Zr 3.02-3.29
Zr 0.7500 0.7500 0.4713  10 Zr 3.02-3.30

(6)
Below is an optimized crystal structure of KZr, with properties calculated at the PBE-GGA level.

E: -4.055 eV per atom
volume: 39.23 Å³/atom
mass density: 2.76 g/cm³
total magnetic moment: 0.5 μB per formula unit

a = 8.3824 Å, b = 8.3824 Å, c = 5.1553 Å
α = 90.00°, β = 90.00°, γ = 120.00°
Last column: nearest neighbours and their distance in Å.
Positions (direct):
K 0.0000 0.0000 0.0000  6 K 3.68
K 0.3615 0.1807 0.5000  4 K 3.68-3.84, 4 Zr 3.84
K 0.8193 0.1807 0.5000  4 K 3.68-3.84, 4 Zr 3.84
K 0.8193 0.6385 0.5000  4 K 3.68-3.84, 4 Zr 3.84
Zr 0.1095 0.5547 0.0000  4 Zr 2.81-3.05
Zr 0.3333 0.6667 0.5000  6 Zr 3.05
Zr 0.4453 0.5547 0.0000  4 Zr 2.81-3.05
Zr 0.4453 0.8905 0.0000  4 Zr 2.81-3.05

(7)
Below is an optimized crystal structure of KZr3, with properties calculated at the PBE-GGA level.

E: -5.831 eV per atom
volume: 27.55 Å³/atom
mass density: 4.71 g/cm³
total magnetic moment: 0.7 μB per formula unit

a = 6.9017 Å, b = 6.9017 Å, c = 5.3430 Å
α = 90.00°, β = 90.00°, γ = 120.00°
Last column: nearest neighbours and their distance in Å.
Positions (direct):
K 0.3333 0.6667 0.2500  12 Zr 3.46-3.47
K 0.6667 0.3333 0.7500  12 Zr 3.46-3.47
Zr 0.1485 0.2971 0.7500  6 Zr 3.08-3.21
Zr 0.1485 0.8515 0.7500  6 Zr 3.08-3.21
Zr 0.2971 0.1485 0.2500  6 Zr 3.08-3.21
Zr 0.7029 0.8515 0.7500  6 Zr 3.08-3.21
Zr 0.8515 0.1485 0.2500  6 Zr 3.08-3.21
Zr 0.8515 0.7029 0.2500  6 Zr 3.08-3.21

(8)
Below is an optimized crystal structure of KZr3, with properties calculated at the PBE-GGA level.

E: -5.960 eV per atom
volume: 32.26 Å³/atom
mass density: 4.02 g/cm³
total magnetic moment: 0.0 μB per formula unit

a = 5.0471 Å, b = 6.5033 Å, c = 7.8632 Å
α = 90.00°, β = 90.00°, γ = 90.00°
Last column: nearest neighbours and their distance in Å.
Positions (direct):
K 0.2500 0.2500 0.0931  8 Zr 3.55-3.95
K 0.7500 0.7500 0.9069  8 Zr 3.55-3.95
Zr 0.2500 0.0071 0.5833  6 Zr 2.84-3.18
Zr 0.2500 0.4929 0.5833  6 Zr 2.84-3.18
Zr 0.2500 0.7500 0.2752  6 Zr 2.94-3.18
Zr 0.7500 0.2500 0.7248  6 Zr 2.94-3.18
Zr 0.7500 0.5071 0.4167  6 Zr 2.84-3.18
Zr 0.7500 0.9929 0.4167  6 Zr 2.84-3.18

Q: Look up the E of the second one.
A: -2.677 eV per atom

Q: volume of number 5 (KZr)?
A: 39.68 Å³/atom